# 1
Li3Pm2Si2: relaxed, GGA-PBE.

a b c (Å): 4.6334 5.5675 6.2361
angles (deg): 100.55 90.00 114.59
Closest atoms and distances in Å follow each position.
Sites, in units of the cell vectors:
Li (0.5000, 0.0000, 0.0000)  2 Li 2.71
Li (0.6162, 0.2323, 0.4316)  3 Si 2.63-2.71, 2 Li 2.66-2.71, 1 Pm 2.92
Li (0.3838, 0.7677, 0.5684)  3 Si 2.63-2.71, 2 Li 2.66-2.71, 1 Pm 2.92
Pm (0.8533, 0.7066, 0.2320)  5 Li 2.92-3.25, 5 Si 3.02-3.22
Pm (0.1467, 0.2934, 0.7680)  5 Li 2.92-3.25, 5 Si 3.02-3.22
Si (0.8447, 0.6894, 0.7453)  3 Li 2.63-2.71
Si (0.1553, 0.3106, 0.2547)  3 Li 2.63-2.71

Properties
E_form (uncorrected) (eV/atom): -0.3937
Spin magnetization (Bohr magnetons per cell): 0.3
Symmetry: No. 12

=====

# 2
Pm3NdPa2N6: relaxed, GGA-PBE.

a b c (Å): 3.5850 7.1602 7.9879
angles (deg): 102.97 102.97 90.00
Closest atoms and distances in Å follow each position.
Sites, in units of the cell vectors:
Pm (0.5000, 0.5000, 0.0000)  6 N 2.53-2.62
Pm (0.8333, 0.1637, 0.6666)  6 N 2.52-2.74
Pm (0.1667, 0.8363, 0.3334)  6 N 2.52-2.74
Nd (0.5000, 0.0000, 0.0000)  6 N 2.54-2.56
Pa (0.8340, 0.6696, 0.6679)  6 N 2.30-2.45
Pa (0.1660, 0.3304, 0.3321)  6 N 2.30-2.45
N (0.3326, 0.8906, 0.6653)  2 Pa 2.39, 3 Pm 2.52-2.65, 1 Nd 2.54
N (0.6725, 0.5631, 0.3451)  3 Pa 2.43-2.45, 3 Pm 2.62-2.67
N (0.6674, 0.1094, 0.3347)  2 Pa 2.39, 3 Pm 2.52-2.65, 1 Nd 2.54
N (0.0139, 0.2602, 0.0279)  1 Pa 2.30, 2 Pm 2.53, 2 Nd 2.56
N (0.9861, 0.7398, 0.9721)  1 Pa 2.30, 2 Pm 2.53, 2 Nd 2.56
N (0.3275, 0.4369, 0.6549)  3 Pa 2.43-2.45, 3 Pm 2.62-2.67

Properties
E_form (uncorrected) (eV/atom): -1.5546
Spin magnetization (Bohr magnetons per cell): 0.0
Symmetry: No. 12